No. 1
CaCu9Ge4: relaxed, PBE.

Unit cell a=8.282 b=8.282 c=11.937 alpha=90.00 beta=90.00 gamma=90.00
Space group I4/mcm (No. 140)
Asymmetric unit:
Ca  0.000  0.000  0.250
Cu  0.000  0.500  0.000
Cu  0.063  0.202  0.000
Cu  0.118  0.382  0.179
Ge  0.179  0.321  0.377

Formation energy: -14.1 kJ per mole of atoms
Raw total energy: -237.52 eV/cell



No. 2
CaTa2Mn: relaxed, PBE.

Unit cell a=5.061 b=2.973 c=5.476 alpha=90.00 beta=106.50 gamma=90.00
Space group P2/m (No. 10)
Asymmetric unit:
Ca  0.000  0.000  0.000
Ta  0.000  0.500  0.500
Ta  0.500  0.000  0.500
Mn  0.500  0.500  0.000

Relative energy among the computed polymorphs: 1.15 eV per formula unit
Formation energy: 65.8 kJ per mole of atoms
Raw total energy: -32.15 eV/cell



No. 3
YTmCdGe: relaxed, PBE.

Unit cell a=7.239 b=7.239 c=7.239 alpha=90.00 beta=90.00 gamma=90.00
Space group F-43m (No. 216)
Asymmetric unit:
Y  0.000  0.000  0.000
Tm  0.000  0.000  0.500
Cd  0.250  0.250  0.750
Ge  0.250  0.250  0.250

Formation energy: -44.7 kJ per mole of atoms
Raw total energy: -73.28 eV/cell



No. 4
Pu3TcRu2: relaxed, PBE.

Unit cell a=3.356 b=3.356 c=10.262 alpha=90.00 beta=90.00 gamma=90.00
Space group P4/mmm (No. 123)
Asymmetric unit:
Pu  0.000  0.000  0.000
Pu  0.000  0.000  0.334
Tc  0.500  0.500  0.500
Ru  0.500  0.500  0.170

Relative energy among the computed polymorphs: 0.02 eV per formula unit
Formation energy: 0.6 kJ per mole of atoms
Raw total energy: -71.88 eV/cell



No. 5
KAgPb4: relaxed, PBE.

Unit cell a=9.249 b=9.249 c=9.249 alpha=90.00 beta=90.00 gamma=90.00
Space group F-43m (No. 216)
Asymmetric unit:
K  0.000  0.000  0.000
Ag  0.250  0.250  0.250
Pb  0.124  0.124  0.624

Formation energy: 10.3 kJ per mole of atoms
Raw total energy: -72.57 eV/cell



No. 6
KAg2Te2: relaxed, PBE.

Unit cell a=5.044 b=4.986 c=11.535 alpha=90.00 beta=90.35 gamma=90.00
Space group P2_1/m (No. 11)
Asymmetric unit:
K  0.245  0.250  0.245
Ag  0.198  0.750  0.999
Ag  0.247  0.250  0.629
Te  0.251  0.750  0.499
Te  0.289  0.250  0.870

Relative energy among the computed polymorphs: 0.00 eV per formula unit
Formation energy from raw total energies: -2.0 eV per formula unit
Raw total energy: -30.25 eV/cell



No. 7
CeHgP2O8: relaxed, PBE.

Unit cell a=4.9556 b=4.9556 c=22.3031 alpha=90.00 beta=90.00 gamma=120.00
Space group R-3 (No. 148, hexagonal axes)
Asymmetric unit:
Ce  0.0000  0.0000  0.0000
Hg  0.0000  0.0000  0.5000
P  0.0000  0.0000  0.2454
O  0.0000  0.0000  0.1765
O  0.0086  0.2991  0.2701

Formation energy from raw total energies: -25.3 eV per formula unit
Raw total energy: -246.19 eV/cell



No. 8
NdTaIn2O8: relaxed, PBE.

Unit cell a=6.985 b=7.057 c=6.916 alpha=90.00 beta=90.00 gamma=90.00
Space group Cmmm (No. 65)
Asymmetric unit:
Nd  0.000  0.000  0.000
Ta  0.000  0.000  0.500
In  0.000  0.500  0.260
O  0.000  0.289  0.500
O  0.000  0.323  0.000
O  0.191  0.000  0.288

Formation energy from raw total energies: -24.1 eV per formula unit
Raw total energy: -171.78 eV/cell



No. 9
MnCrTcPd: relaxed, PBE.

Unit cell a=3.9986 b=3.9986 c=12.0014 alpha=90.00 beta=90.00 gamma=120.00
Space group R3m (No. 160, hexagonal axes)
Asymmetric unit:
Mn  0.0000  0.0000  0.0000
Cr  0.0000  0.0000  0.3374
Tc  0.0000  0.0000  0.7762
Pd  0.0000  0.0000  0.5537

Relative energy among the computed polymorphs: 1.10 eV per formula unit
Formation energy: 32.2 kJ per mole of atoms
Raw total energy: -99.05 eV/cell



No. 10
SrSb2Rh: relaxed, PBE.

Unit cell a=4.474 b=4.474 c=9.714 alpha=90.00 beta=90.00 gamma=90.00
Space group I-4m2 (No. 119)
Asymmetric unit:
Sr  0.000  0.000  0.000
Sb  0.000  0.000  0.500
Sb  0.000  0.500  0.250
Rh  0.000  0.500  0.750

Formation energy from raw total energies: -0.8 eV per formula unit
Raw total energy: -36.10 eV/cell



No. 11
Ho4Tl2CdRh: relaxed, PBE.

Unit cell a=5.2234 b=5.2234 c=25.2106 alpha=90.00 beta=90.00 gamma=120.00
Space group R-3m (No. 166, hexagonal axes)
Asymmetric unit:
Ho  0.0000  0.0000  0.1139
Ho  0.0000  0.0000  0.3680
Tl  0.0000  0.0000  0.2421
Cd  0.0000  0.0000  0.5000
Rh  0.0000  0.0000  0.0000

Formation energy: -43.6 kJ per mole of atoms
Raw total energy: -104.76 eV/cell



No. 12
Mn2Fe3Ge2: relaxed, PBE.

Unit cell a=7.132 b=7.132 c=7.132 alpha=90.00 beta=90.00 gamma=90.00
Space group I2_13 (No. 199)
Asymmetric unit:
Mn  0.078  0.422  0.578
Fe  0.000  0.250  0.966
Ge  0.223  0.223  0.223

Formation energy: 22.0 kJ per mole of atoms
Raw total energy: -205.48 eV/cell



No. 13
Nd4TlAg2Hg: relaxed, PBE.

Unit cell a=5.3956 b=5.3956 c=26.4742 alpha=90.00 beta=90.00 gamma=120.00
Space group R-3m (No. 166, hexagonal axes)
Asymmetric unit:
Nd  0.0000  0.0000  0.1230
Nd  0.0000  0.0000  0.3732
Tl  0.0000  0.0000  0.5000
Ag  0.0000  0.0000  0.2482
Hg  0.0000  0.0000  0.0000

Formation energy: -32.8 kJ per mole of atoms
Raw total energy: -90.49 eV/cell



No. 14
Pr2MgAs4Pt3: relaxed, PBE.

Unit cell a=4.414 b=4.414 c=10.493 alpha=90.00 beta=90.00 gamma=90.00
Space group P-4m2 (No. 115)
Asymmetric unit:
Pr  0.000  0.500  0.239
Mg  0.000  0.000  0.500
As  0.000  0.000  0.000
As  0.000  0.500  0.641
As  0.500  0.500  0.000
Pt  0.000  0.500  0.878
Pt  0.500  0.500  0.500

Formation energy: -83.7 kJ per mole of atoms
Raw total energy: -56.55 eV/cell



No. 15
Ba3Cu6P5: relaxed, PBE.

Unit cell a=4.021 b=12.365 c=11.486 alpha=90.00 beta=90.00 gamma=90.00
Space group Pmmn (No. 59, origin choice 2)
Asymmetric unit:
Ba  0.250  0.086  0.240
Ba  0.250  0.750  0.243
Cu  0.250  0.054  0.544
Cu  0.250  0.250  0.499
Cu  0.250  0.250  0.994
Cu  0.250  0.582  0.002
P  0.250  0.082  0.887
P  0.250  0.631  0.515
P  0.250  0.750  0.896

Formation energy: -47.6 kJ per mole of atoms
Raw total energy: -128.59 eV/cell



No. 16
TmTePd2: relaxed, PBE.

Unit cell a=6.842 b=6.842 c=6.842 alpha=90.00 beta=90.00 gamma=90.00
Space group Fm-3m (No. 225)
Asymmetric unit:
Tm  0.000  0.000  0.000
Te  0.000  0.000  0.500
Pd  0.250  0.250  0.250

Relative energy among the computed polymorphs: 0.13 eV per formula unit
Formation energy from raw total energies: -2.9 eV per formula unit
Raw total energy: -83.58 eV/cell



No. 17
InHg2Pd6: relaxed, PBE.

Unit cell a=7.702 b=4.758 c=8.480 alpha=90.00 beta=96.04 gamma=90.00
Space group C2/m (No. 12)
Asymmetric unit:
In  0.000  0.000  0.000
Hg  0.157  0.500  0.762
Pd  0.007  0.000  0.333
Pd  0.172  0.500  0.103
Pd  0.173  0.500  0.441

Relative energy among the computed polymorphs: 0.00 eV per formula unit
Formation energy: -20.6 kJ per mole of atoms
Raw total energy: -72.85 eV/cell



No. 18
ReHS2: relaxed, PBE.

Unit cell a=5.770 b=5.770 c=5.770 alpha=90.00 beta=90.00 gamma=90.00
Space group Fm-3m (No. 225)
Asymmetric unit:
Re  0.000  0.000  0.000
H  0.000  0.000  0.500
S  0.250  0.250  0.250

Relative energy among the computed polymorphs: 2.60 eV per formula unit
Raw total energy: -88.02 eV/cell



No. 19
Sc4TcBr5: relaxed, PBE.

Unit cell a=17.555 b=3.612 c=8.699 alpha=90.00 beta=104.00 gamma=90.00
Space group C2/m (No. 12)
Asymmetric unit:
Sc  0.003  0.000  0.237
Sc  0.138  0.500  0.071
Tc  0.000  0.500  0.000
Br  0.000  0.500  0.500
Br  0.167  0.000  0.318
Br  0.170  0.000  0.850

Formation energy from raw total energies: -11.8 eV per formula unit
Raw total energy: -111.67 eV/cell



No. 20
Ti2GeO6: relaxed, PBE.

Unit cell a=11.539 b=12.350 c=5.912 alpha=90.00 beta=120.10 gamma=90.00
Space group C2/c (No. 15)
Asymmetric unit:
Ti  0.244  0.084  0.193
Ge  0.000  0.254  0.750
O  0.099  0.172  0.024
O  0.103  0.336  0.682
O  0.240  0.015  0.463

Relative energy among the computed polymorphs: 0.00 eV per formula unit
Formation energy from raw total energies: -22.8 eV per formula unit
Raw total energy: -291.81 eV/cell